# Cd5AgRh4, relaxed, DFT PBE
# - ΔH_f (0 K): -71 meV/atom
# - D(E_F): 0.7078 states/eV/atom
data_Cd5AgRh4
_cell_length_a 3.274
_cell_length_b 3.274
_cell_length_c 16.154
_cell_angle_alpha 90.00
_cell_angle_beta 90.00
_cell_angle_gamma 90.00
_space_group_name_H-M_alt 'P 4/m m m'
_space_group_IT_number 123
_space_group_name_Hall '-P 4 2'
loop_
_atom_site_label
_atom_site_fract_x
_atom_site_fract_y
_atom_site_fract_z
Cd1 0.000 0.000 0.000
Cd2 0.000 0.000 0.195
Cd3 0.000 0.000 0.390
Ag1 0.500 0.500 0.500
Rh1 0.500 0.500 0.098
Rh2 0.500 0.500 0.295

# AlPN2, relaxed, DFT PBE
# - D(E_F): 0.3548 states/eV/atom
# - Excess energy over the best structure of this formula in the dataset: 415 meV per atom
data_AlPN2
_cell_length_a 4.346
_cell_length_b 4.346
_cell_length_c 9.705
_cell_angle_alpha 90.00
_cell_angle_beta 90.00
_cell_angle_gamma 90.00
_space_group_name_H-M_alt 'I -4 2 d'
_space_group_IT_number 122
_space_group_name_Hall 'I -4 2bw'
loop_
_atom_site_label
_atom_site_fract_x
_atom_site_fract_y
_atom_site_fract_z
Al1 0.000 0.000 0.000
P1 0.000 0.000 0.500
N1 0.245 0.250 0.125

# Th4GaCu3, relaxed, DFT PBE
# - ΔH_f (0 K): -201 meV/atom
# - D(E_F): 1.0970 states/eV/atom
data_Th4GaCu3
_cell_length_a 3.785
_cell_length_b 4.282
_cell_length_c 11.655
_cell_angle_alpha 90.00
_cell_angle_beta 90.00
_cell_angle_gamma 90.00
_space_group_name_H-M_alt 'P m m 2'
_space_group_IT_number 25
loop_
_space_group_symop_operation_xyz
'x,y,z'
'-x,-y,z'
'-x,y,z'
'x,-y,z'
loop_
_atom_site_label
_atom_site_fract_x
_atom_site_fract_y
_atom_site_fract_z
Th1 0.000 0.000 0.000
Th2 0.000 0.500 0.294
Th3 0.500 0.000 0.491
Th4 0.500 0.500 0.803
Ga1 0.000 0.000 0.709
Cu1 0.000 0.500 0.584
Cu2 0.500 0.000 0.210
Cu3 0.500 0.500 0.084

# BaScZn2, relaxed, DFT PBE
# - ΔH_f (0 K): -76 meV/atom
# - D(E_F): 1.0489 states/eV/atom
# - Excess energy over the best structure of this formula in the dataset: 110 meV per atom
data_BaScZn2
_cell_length_a 4.352
_cell_length_b 3.721
_cell_length_c 13.541
_cell_angle_alpha 90.00
_cell_angle_beta 90.00
_cell_angle_gamma 90.00
_space_group_name_H-M_alt 'A m m 2'
_space_group_IT_number 38
loop_
_space_group_symop_operation_xyz
'x,y,z'
'-x,-y,z'
'-x,y,z'
'x,-y,z'
'x,y+1/2,z+1/2'
'-x,-y+1/2,z+1/2'
'-x,y+1/2,z+1/2'
'x,-y+1/2,z+1/2'
loop_
_atom_site_label
_atom_site_fract_x
_atom_site_fract_y
_atom_site_fract_z
Ba1 0.000 0.000 0.000
Sc1 0.500 0.000 0.711
Zn1 0.000 0.000 0.256
Zn2 0.500 0.000 0.367

# Cu2AgI3, relaxed, DFT PBE
# - Excess energy over the best structure of this formula in the dataset: 19 meV per atom
data_Cu2AgI3
_cell_length_a 8.092
_cell_length_b 4.241
_cell_length_c 11.477
_cell_angle_alpha 90.00
_cell_angle_beta 107.89
_cell_angle_gamma 90.00
_space_group_name_H-M_alt 'P 1 21/m 1'
_space_group_IT_number 11
loop_
_space_group_symop_operation_xyz
'x,y,z'
'-x,-y,-z'
'-x,y+1/2,-z'
'x,-y+1/2,z'
loop_
_atom_site_label
_atom_site_fract_x
_atom_site_fract_y
_atom_site_fract_z
Cu1 0.022 0.250 0.431
Cu2 0.435 0.750 0.927
Ag1 0.208 0.250 0.687
I1 0.079 0.750 0.816
I2 0.253 0.750 0.487
I3 0.432 0.750 0.157

# BaHfVH2, relaxed, DFT PBE
# - D(E_F): 0.9466 states/eV/atom
data_BaHfVH2
_cell_length_a 4.068
_cell_length_b 4.068
_cell_length_c 5.168
_cell_angle_alpha 90.00
_cell_angle_beta 90.00
_cell_angle_gamma 90.00
_space_group_name_H-M_alt 'P 4/m m m'
_space_group_IT_number 123
_space_group_name_Hall '-P 4 2'
loop_
_atom_site_label
_atom_site_fract_x
_atom_site_fract_y
_atom_site_fract_z
Ba1 0.000 0.000 0.000
Hf1 0.500 0.500 0.000
V1 0.000 0.000 0.500
H1 0.000 0.500 0.500

# LaVGeIr2, relaxed, DFT PBE
# - ΔH_f (0 K): 271 meV/atom
# - D(E_F): 1.5353 states/eV/atom
data_LaVGeIr2
_cell_length_a 4.678
_cell_length_b 4.678
_cell_length_c 4.634
_cell_angle_alpha 90.00
_cell_angle_beta 90.00
_cell_angle_gamma 90.00
_space_group_name_H-M_alt 'P 4/m m m'
_space_group_IT_number 123
_space_group_name_Hall '-P 4 2'
loop_
_atom_site_label
_atom_site_fract_x
_atom_site_fract_y
_atom_site_fract_z
La1 0.000 0.000 0.000
V1 0.500 0.500 0.000
Ge1 0.500 0.500 0.500
Ir1 0.000 0.500 0.500

# SiPb2S4, relaxed, DFT PBE
# - D(E_F): 0.3064 states/eV/atom
# - Excess energy over the best structure of this formula in the dataset: 313 meV per atom
data_SiPb2S4
_cell_length_a 4.619
_cell_length_b 4.619
_cell_length_c 14.665
_cell_angle_alpha 90.00
_cell_angle_beta 90.00
_cell_angle_gamma 90.00
_space_group_name_H-M_alt 'I 4/m m m'
_space_group_IT_number 139
_space_group_name_Hall '-I 4 2'
loop_
_atom_site_label
_atom_site_fract_x
_atom_site_fract_y
_atom_site_fract_z
Si1 0.000 0.000 0.000
Pb1 0.000 0.000 0.362
S1 0.000 0.000 0.158
S2 0.000 0.500 0.000

# GdDyY, relaxed, DFT PBE
# - ΔH_f (0 K): 23 meV/atom
# - D(E_F): 1.5953 states/eV/atom
data_GdDyY
_cell_length_a 3.574
_cell_length_b 3.574
_cell_length_c 15.082
_cell_angle_alpha 90.00
_cell_angle_beta 90.00
_cell_angle_gamma 90.00
_space_group_name_H-M_alt 'I 4 m m'
_space_group_IT_number 107
_space_group_name_Hall 'I 4 -2'
loop_
_atom_site_label
_atom_site_fract_x
_atom_site_fract_y
_atom_site_fract_z
Gd1 0.000 0.000 0.000
Dy1 0.000 0.000 0.334
Y1 0.000 0.000 0.670

# PmAsPt2, relaxed, DFT PBE
# - ΔH_f (0 K): -686 meV/atom
# - D(E_F): 0.6268 states/eV/atom
data_PmAsPt2
_cell_length_a 4.214
_cell_length_b 4.214
_cell_length_c 4.364
_cell_angle_alpha 90.00
_cell_angle_beta 90.00
_cell_angle_gamma 90.00
_space_group_name_H-M_alt 'P 4/m m m'
_space_group_IT_number 123
_space_group_name_Hall '-P 4 2'
loop_
_atom_site_label
_atom_site_fract_x
_atom_site_fract_y
_atom_site_fract_z
Pm1 0.000 0.000 0.000
As1 0.500 0.500 0.000
Pt1 0.000 0.500 0.500

# MgSbTe2W, relaxed, DFT PBE
# - D(E_F): 1.1002 states/eV/atom
# - Excess energy over the best structure of this formula in the dataset: 820 meV per atom
data_MgSbTe2W
_cell_length_a 5.355
_cell_length_b 5.355
_cell_length_c 5.205
_cell_angle_alpha 90.00
_cell_angle_beta 90.00
_cell_angle_gamma 90.00
_space_group_name_H-M_alt 'P 4/m m m'
_space_group_IT_number 123
_space_group_name_Hall '-P 4 2'
loop_
_atom_site_label
_atom_site_fract_x
_atom_site_fract_y
_atom_site_fract_z
Mg1 0.000 0.000 0.000
Sb1 0.000 0.000 0.500
Te1 0.000 0.500 0.000
W1 0.500 0.500 0.500

# Nd2CuBiO6, relaxed, DFT PBE
# - D(E_F): 0.2036 states/eV/atom
data_Nd2CuBiO6
_cell_length_a 10.631
_cell_length_b 5.571
_cell_length_c 5.594
_cell_angle_alpha 90.00
_cell_angle_beta 117.95
_cell_angle_gamma 90.00
_space_group_name_H-M_alt 'C 1 2/m 1'
_space_group_IT_number 12
loop_
_space_group_symop_operation_xyz
'x,y,z'
'-x,-y,-z'
'-x,y,-z'
'x,-y,z'
'x+1/2,y+1/2,z'
'-x+1/2,-y+1/2,-z'
'-x+1/2,y+1/2,-z'
'x+1/2,-y+1/2,z'
loop_
_atom_site_label
_atom_site_fract_x
_atom_site_fract_y
_atom_site_fract_z
Nd1 0.244 0.000 0.208
Cu1 0.000 0.500 0.000
Bi1 0.000 0.000 0.500
O1 0.080 0.264 0.852
O2 0.232 0.000 0.607

| no. | final energy (eV/atom) |
| --- | --- |
| 1 | -3.754 |
| 2 | -6.391 |
| 3 | -5.825 |
| 4 | -2.776 |
| 5 | -2.768 |
| 6 | -4.055 |
| 7 | -7.006 |
| 8 | -4.501 |
| 9 | -8.360 |
| 10 | -6.057 |
| 11 | -3.621 |
| 12 | -6.746 |